Compound: AsOsPt2
Source: Alexandria
Functional: PBE
Structure: optimized geometry

Cell lengths 4.6316, 4.6316, 4.6316 Å; angles 126.39, 126.39, 79.25 degrees
With the nearest neighbours (Å) after each atom.
Sites, in units of the cell vectors:
As  0.5000  0.5000  0.0000  4 Os 2.75, 8 Pt 2.75-2.95
Pt  0.0000  0.0000  0.0000  4 Pt 2.75, 4 Os 2.75, 4 As 2.95
Pt  0.2500  0.7500  0.5000  4 Pt 2.75, 4 As 2.75, 4 Os 2.95
Os  0.7500  0.2500  0.5000  4 As 2.75, 8 Pt 2.75-2.95

Computed properties:
Crystal system: tetragonal
Raw total energy (eV per cell): -26.736
Energy of formation from the pure elements (eV per atom): 0.306

Compound: AsOsPt2
Source: Alexandria
Functional: PBE
Structure: optimized geometry

Cell lengths 4.1824, 3.8426, 3.8426 Å; angles 90.00, 90.00, 90.00 degrees
With the nearest neighbours (Å) after each atom.
Sites, in units of the cell vectors:
Pt  0.0000  0.0000  0.0000  4 Pt 2.72, 4 As 2.84, 4 Os 2.84
Pt  0.0000  0.5000  0.5000  4 Pt 2.72, 4 As 2.84, 4 Os 2.84
Os  0.5000  0.0000  0.5000  4 As 2.72, 8 Pt 2.84
As  0.5000  0.5000  0.0000  4 Os 2.72, 8 Pt 2.84

Computed properties:
Crystal system: tetragonal
Raw total energy (eV per cell): -26.861
Energy of formation from the pure elements (eV per atom): 0.275

Compound: AsOs2Pt
Source: Alexandria
Functional: PBE
Structure: optimized geometry

Cell lengths 4.8170, 4.8170, 4.6511 Å; angles 87.29, 87.29, 34.81 degrees
With the nearest neighbours (Å) after each atom.
Sites, in units of the cell vectors:
Os  0.0188  0.0188  0.9798  1 As 2.52, 3 Os 2.66-2.71, 2 Pt 2.69
Os  0.7460  0.7460  0.7826  2 As 2.56, 3 Os 2.66-2.71, 3 Pt 2.82-2.86
As  0.2536  0.2536  0.2361  1 Pt 2.48, 3 Os 2.52-2.56
Pt  0.4816  0.4816  0.5015  1 As 2.48, 2 Os 2.69

Computed properties:
Crystal system: monoclinic
Raw total energy (eV per cell): -31.760
Energy of formation from the pure elements (eV per atom): 0.348

Compound: AsOs2Pt
Source: Alexandria
Functional: PBE
Structure: optimized geometry

Cell lengths 5.4130, 5.4130, 7.0103 Å; angles 67.29, 67.29, 90.00 degrees
With the nearest neighbours (Å) after each atom.
Sites, in units of the cell vectors:
As  0.5000  0.5000  0.0000  4 Os 2.38
As  0.2500  0.7500  0.5000  4 Os 2.38
Pt  0.0000  0.0000  0.0000  4 Os 2.45
Pt  0.7500  0.2500  0.5000  4 Os 2.45
Os  0.3750  0.3861  0.7500  2 As 2.38, 2 Pt 2.45
Os  0.6139  0.1250  0.2500  2 As 2.38, 2 Pt 2.45
Os  0.1361  0.6250  0.2500  2 As 2.38, 2 Pt 2.45
Os  0.8750  0.8639  0.7500  2 As 2.38, 2 Pt 2.45

Computed properties:
Crystal system: tetragonal
Raw total energy (eV per cell): -58.207
Energy of formation from the pure elements (eV per atom): 1.012

Compound: AsOsPt2
Source: Alexandria
Functional: PBE
Structure: optimized geometry

Cell lengths 2.7825, 2.7825, 9.5953 Å; angles 90.00, 90.00, 120.63 degrees
With the nearest neighbours (Å) after each atom.
Sites, in units of the cell vectors:
Os  0.5000  0.5000  0.7500  4 Pt 2.72, 6 Os 2.76-2.78
As  0.5000  0.5000  0.2500  6 As 2.76-2.78, 4 Pt 2.81
Pt  0.0000  0.0000  0.9949  2 Os 2.72, 6 Pt 2.76-2.78, 2 As 2.81
Pt  0.0000  0.0000  0.5051  2 Os 2.72, 6 Pt 2.76-2.78, 2 As 2.81

Computed properties:
Crystal system: orthorhombic
Raw total energy (eV per cell): -26.682
Energy of formation from the pure elements (eV per atom): 0.320

Compound: AsOsPt2
Source: Alexandria
Functional: PBE
Structure: optimized geometry

Cell lengths 3.9023, 3.1209, 5.4079 Å; angles 73.24, 90.00, 90.00 degrees
With the nearest neighbours (Å) after each atom.
Sites, in units of the cell vectors:
Pt  0.5000  0.2984  0.2786  4 As 2.70, 3 Os 2.74-2.89, 4 Pt 2.89
Pt  0.0000  0.9390  0.9974  1 As 2.47
As  0.0000  0.6992  0.4751  2 Os 2.41, 5 Pt 2.47-2.70
Os  0.5000  0.5634  0.7489  2 As 2.41

Computed properties:
Crystal system: orthorhombic
Raw total energy (eV per cell): -27.182
Energy of formation from the pure elements (eV per atom): 0.195

Compound: AsOs2Pt
Source: Alexandria
Functional: PBE
Structure: optimized geometry

Cell lengths 4.4429, 4.4429, 4.4429 Å; angles 60.00, 60.00, 60.00 degrees
With the nearest neighbours (Å) after each atom.
Sites, in units of the cell vectors:
Pt  0.7500  0.7500  0.7500  4 Os 2.72, 4 As 2.72
Os  0.2500  0.2500  0.2500  4 As 2.72, 4 Os 2.72
Os  0.0000  0.0000  0.0000  4 Os 2.72, 4 Pt 2.72
As  0.5000  0.5000  0.5000  4 Pt 2.72, 4 Os 2.72

Computed properties:
Crystal system: cubic
Raw total energy (eV per cell): -30.432
Energy of formation from the pure elements (eV per atom): 0.679

Compound: AsOsPt2
Source: Alexandria
Functional: PBE
Structure: optimized geometry

Cell lengths 9.1106, 9.1106, 9.1106 Å; angles 17.96, 17.96, 17.96 degrees
With the nearest neighbours (Å) after each atom.
Sites, in units of the cell vectors:
Os  0.7500  0.7500  0.7500  6 Pt 2.75, 6 Os 2.84
As  0.2500  0.2500  0.2500  6 Pt 2.80, 6 As 2.84
Pt  0.4988  0.4988  0.4988  3 Os 2.75, 3 As 2.80, 6 Pt 2.84
Pt  0.0012  0.0012  0.0012  3 Os 2.75, 3 As 2.80, 6 Pt 2.84

Computed properties:
Crystal system: trigonal
Raw total energy (eV per cell): -27.166
Energy of formation from the pure elements (eV per atom): 0.199

Compound: AsOs2Pt
Source: Alexandria
Functional: PBE
Structure: optimized geometry

Cell lengths 4.8493, 4.8493, 4.8146 Å; angles 72.26, 72.26, 34.25 degrees
With the nearest neighbours (Å) after each atom.
Sites, in units of the cell vectors:
Pt  0.7500  0.7500  0.7500  6 Os 2.74-2.84, 4 As 2.80, 2 Pt 2.86
Os  0.5248  0.5248  0.4956  2 As 2.49, 1 Pt 2.74, 2 Os 2.74
Os  0.9752  0.9752  0.0044  2 As 2.49, 1 Pt 2.74, 2 Os 2.74
As  0.2500  0.2500  0.2500  4 Os 2.49

Computed properties:
Crystal system: monoclinic
Raw total energy (eV per cell): -31.634
Energy of formation from the pure elements (eV per atom): 0.379

Compound: AsOsPt2
Source: Alexandria
Functional: PBE
Structure: optimized geometry

Cell lengths 4.8441, 4.8441, 2.8744 Å; angles 90.00, 90.00, 112.73 degrees
With the nearest neighbours (Å) after each atom.
Sites, in units of the cell vectors:
Pt  0.5000  0.5000  0.0000  4 Pt 2.68-2.87, 4 Os 2.82, 4 As 2.82
Pt  0.0000  0.0000  0.0000  4 Pt 2.68-2.87, 4 As 2.82, 4 Os 2.82
Os  0.0000  0.5000  0.5000  2 As 2.68, 8 Pt 2.82, 2 Os 2.87
As  0.5000  0.0000  0.5000  2 Os 2.68, 8 Pt 2.82, 2 As 2.87

Computed properties:
Crystal system: orthorhombic
Raw total energy (eV per cell): -27.176
Energy of formation from the pure elements (eV per atom): 0.196

Compound: AsOs2Pt
Source: Alexandria
Functional: PBE
Structure: optimized geometry

Cell lengths 8.8915, 8.8915, 8.8915 Å; angles 18.32, 18.32, 18.32 degrees
With the nearest neighbours (Å) after each atom.
Sites, in units of the cell vectors:
Os  0.0003  0.0003  0.0003  3 As 2.64, 9 Os 2.64-2.83
Os  0.2544  0.2544  0.2544  9 Os 2.64-2.83, 3 Pt 2.84
As  0.7461  0.7461  0.7461  3 Os 2.64, 3 Pt 2.79, 6 As 2.83
Pt  0.4991  0.4991  0.4991  3 As 2.79, 6 Pt 2.83, 3 Os 2.84

Computed properties:
Crystal system: trigonal
Raw total energy (eV per cell): -32.232
Energy of formation from the pure elements (eV per atom): 0.229

Compound: AsOsPt2
Source: Alexandria
Functional: PBE
Structure: optimized geometry

Cell lengths 2.9032, 2.9032, 7.3756 Å; angles 90.00, 90.00, 90.00 degrees
With the nearest neighbours (Å) after each atom.
Sites, in units of the cell vectors:
Pt  0.5000  0.5000  0.2575  4 As 2.81, 8 Pt 2.86-2.90
Pt  0.0000  0.0000  0.9866  4 Os 2.75, 8 Pt 2.86-2.90
As  0.0000  0.0000  0.5176  4 Os 2.62, 4 Pt 2.81, 4 As 2.90
Os  0.5000  0.5000  0.7382  4 As 2.62, 4 Pt 2.75, 4 Os 2.90

Computed properties:
Crystal system: tetragonal
Raw total energy (eV per cell): -27.130
Energy of formation from the pure elements (eV per atom): 0.208

Which formula does entry 5 have? AsOsPt2